# CsGe3Pt3, relaxed, DFT PBE
# - ΔH_f (0 K) (meV/atom) = -415
data_CsGe3Pt3
_chemical_formula_sum 'Cs4 Ge12 Pt12'
_cell_length_a 14.860
_cell_length_b 4.419
_cell_length_c 11.556
_cell_angle_alpha 90.00
_cell_angle_beta 111.79
_cell_angle_gamma 90.00
_space_group_name_H-M_alt 'C 1 2/m 1'
_space_group_IT_number 12
_space_group_name_Hall '-C 2y'
loop_
_atom_site_label
_atom_site_type_symbol
_atom_site_fract_x
_atom_site_fract_y
_atom_site_fract_z
Cs1 Cs 0.116 0.000 0.191
Ge1 Ge 0.122 0.500 0.886
Ge2 Ge 0.126 0.000 0.693
Ge3 Ge 0.130 0.500 0.497
Pt1 Pt 0.039 0.500 0.650
Pt2 Pt 0.210 0.000 0.543
Pt3 Pt 0.211 0.000 0.922

# Ba2SbRh, relaxed, DFT PBE
# - formation energy from raw total energies (meV per atom) = -280
data_Ba2SbRh
_chemical_formula_sum 'Ba8 Sb4 Rh4'
_cell_length_a 7.730
_cell_length_b 7.730
_cell_length_c 7.730
_cell_angle_alpha 90.00
_cell_angle_beta 90.00
_cell_angle_gamma 90.00
_space_group_name_H-M_alt 'F -4 3 m'
_space_group_IT_number 216
_space_group_name_Hall 'F -4 2 3'
loop_
_atom_site_label
_atom_site_type_symbol
_atom_site_fract_x
_atom_site_fract_y
_atom_site_fract_z
Ba1 Ba 0.000 0.000 0.000
Ba2 Ba 0.250 0.250 0.250
Sb1 Sb 0.250 0.250 0.750
Rh1 Rh 0.000 0.000 0.500

# Sc2AlReAg, relaxed, DFT PBE
# - ΔH_f (0 K) (meV/atom) = 830
data_Sc2AlReAg
_chemical_formula_sum 'Sc2 Al1 Re1 Ag1'
_cell_length_a 5.047
_cell_length_b 5.047
_cell_length_c 4.509
_cell_angle_alpha 90.00
_cell_angle_beta 90.00
_cell_angle_gamma 90.00
_space_group_name_H-M_alt 'P 4/m m m'
_space_group_IT_number 123
_space_group_name_Hall '-P 4 2'
loop_
_atom_site_label
_atom_site_type_symbol
_atom_site_fract_x
_atom_site_fract_y
_atom_site_fract_z
Sc1 Sc 0.000 0.500 0.000
Al1 Al 0.000 0.000 0.000
Re1 Re 0.000 0.000 0.500
Ag1 Ag 0.500 0.500 0.500

# Dy4SnPd2, relaxed, DFT PBE
# - ΔH_f (0 K) (meV/atom) = -706
data_Dy4SnPd2
_chemical_formula_sum 'Dy16 Sn4 Pd8'
_cell_length_a 8.635
_cell_length_b 15.163
_cell_length_c 6.939
_cell_angle_alpha 90.00
_cell_angle_beta 128.09
_cell_angle_gamma 90.00
_space_group_name_H-M_alt 'C 1 c 1'
_space_group_IT_number 9
_space_group_name_Hall 'C -2yc'
loop_
_atom_site_label
_atom_site_type_symbol
_atom_site_fract_x
_atom_site_fract_y
_atom_site_fract_z
Dy1 Dy 0.000 0.027 0.000
Dy2 Dy 0.240 0.326 0.667
Dy3 Dy 0.430 0.249 0.338
Dy4 Dy 0.464 0.041 0.626
Sn1 Sn 0.248 0.134 0.841
Pd1 Pd 0.134 0.167 0.354
Pd2 Pd 0.220 0.412 0.020

# ScTa2Au, relaxed, DFT PBE
# - ΔH_f (0 K) (meV/atom) = 18
data_ScTa2Au
_chemical_formula_sum 'Sc2 Ta4 Au2'
_cell_length_a 4.179
_cell_length_b 4.179
_cell_length_c 8.568
_cell_angle_alpha 90.00
_cell_angle_beta 90.00
_cell_angle_gamma 90.00
_space_group_name_H-M_alt 'I -4 m 2'
_space_group_IT_number 119
_space_group_name_Hall 'I -4 -2'
loop_
_atom_site_label
_atom_site_type_symbol
_atom_site_fract_x
_atom_site_fract_y
_atom_site_fract_z
Sc1 Sc 0.000 0.000 0.000
Ta1 Ta 0.000 0.000 0.500
Ta2 Ta 0.000 0.500 0.750
Au1 Au 0.000 0.500 0.250

# Sr2CaSi2, relaxed, DFT PBE
# - formation energy from raw total energies (meV per atom) = -114
data_Sr2CaSi2
_chemical_formula_sum 'Sr4 Ca2 Si4'
_cell_length_a 4.865
_cell_length_b 4.865
_cell_length_c 13.076
_cell_angle_alpha 90.00
_cell_angle_beta 90.00
_cell_angle_gamma 90.00
_space_group_name_H-M_alt 'I 4/m m m'
_space_group_IT_number 139
_space_group_name_Hall '-I 4 2'
loop_
_atom_site_label
_atom_site_type_symbol
_atom_site_fract_x
_atom_site_fract_y
_atom_site_fract_z
Sr1 Sr 0.000 0.500 0.250
Ca1 Ca 0.000 0.000 0.000
Si1 Si 0.000 0.000 0.412